(1)
Compound: Co3W5
Source: Alexandria
Functional: PBE
Structure: optimized geometry

Lattice parameters (Å, degrees): 7.273 7.273 7.133 95.97 95.97 141.13
Positions (direct):
Co  0.165  0.835  0.000
Co  0.252  0.748  0.500
Co  0.361  0.361  0.651
Co  0.639  0.639  0.349
Co  0.748  0.252  0.500
Co  0.835  0.165  0.000
W  0.065  0.275  0.355
W  0.225  0.585  0.798
W  0.245  0.245  0.987
W  0.275  0.065  0.355
W  0.415  0.775  0.202
W  0.585  0.225  0.798
W  0.725  0.935  0.645
W  0.755  0.755  0.013
W  0.775  0.415  0.202
W  0.935  0.725  0.645

Calculated values
D(E_F)   1.310 states/eV/atom
Space-group type   C2/m
DFT formation energy   0.1102 eV/atom



(2)
Compound: NdTh2CoN4
Source: Alexandria
Functional: PBE
Structure: optimized geometry

Lattice parameters (Å, degrees): 6.156 6.156 11.913 90.00 90.00 145.98
Positions (direct):
Nd  0.100  0.900  0.750
Nd  0.900  0.100  0.250
Th  0.368  0.632  0.559
Th  0.368  0.632  0.941
Th  0.632  0.368  0.059
Th  0.632  0.368  0.441
Co  0.163  0.837  0.250
Co  0.837  0.163  0.750
N  0.000  0.000  0.000
N  0.000  0.000  0.500
N  0.266  0.734  0.121
N  0.266  0.734  0.379
N  0.448  0.552  0.750
N  0.552  0.448  0.250
N  0.734  0.266  0.621
N  0.734  0.266  0.879

Calculated values
D(E_F)   0.424 states/eV/atom
Space-group type   Cmcm
E_form (uncorrected)   -1.147 eV/atom



(3)
Compound: Ho6Tl6Sn
Source: Alexandria
Functional: PBE
Structure: optimized geometry

Lattice parameters (Å, degrees): 6.495 6.495 10.263 90.00 90.00 120.00
Positions (direct):
Ho  0.000  0.000  0.192
Ho  0.000  0.000  0.808
Ho  0.333  0.667  0.000
Ho  0.333  0.667  0.500
Ho  0.667  0.333  0.000
Ho  0.667  0.333  0.500
Tl  0.000  0.500  0.249
Tl  0.000  0.500  0.751
Tl  0.500  0.000  0.249
Tl  0.500  0.000  0.751
Tl  0.500  0.500  0.249
Tl  0.500  0.500  0.751
Sn  0.000  0.000  0.500

Calculated values
D(E_F)   0.761 states/eV/atom
Space-group type   P6/mmm
DFT formation energy   -0.1893 eV/atom



(4)
Compound: PmEuGe
Source: Alexandria
Functional: PBE
Structure: optimized geometry

Lattice parameters (Å, degrees): 4.888 4.888 4.353 90.00 90.00 120.00
Positions (direct):
Pm  0.000  0.000  0.000
Eu  0.333  0.667  0.469
Ge  0.667  0.333  0.819

Calculated values
D(E_F)   0.615 states/eV/atom
Space-group type   P3m1
DFT formation energy   -0.3742 eV/atom